! SrCrHgF6 PBE with a Hubbard U relaxed; values from VASP
&SYSTEM
  ibrav = 0, nat = 18, ntyp = 4
/
ATOMIC_SPECIES
F 19.00 F.upf
Sr 87.62 Sr.upf
Hg 200.59 Hg.upf
Cr 52.00 Cr.upf
ATOMIC_POSITIONS angstrom
F -0.9236 4.7837 1.2804
F 1.4184 1.5920 8.3690
F -0.6695 2.0244 1.2804
F 1.5931 3.6241 1.2804
F 2.3421 3.1917 6.1051
F 2.0879 0.4324 6.1051
F -1.5931 3.6241 3.5443
F 0.9236 4.7837 3.5443
F 3.9351 0.4324 8.3690
F 3.6810 3.1917 8.3690
F 4.6046 1.5920 6.1051
F 0.6695 2.0244 3.5443
Sr 0.0000 0.0000 0.0000
Sr 0.0000 0.0000 4.8247
Hg 3.0115 1.7387 2.4123
Hg 0.0000 3.4774 7.2370
Cr 0.0000 3.4774 2.4123
Cr 3.0115 1.7387 7.2370
CELL_PARAMETERS angstrom
6.0230 0.0000 0.0000
-3.0115 5.2161 0.0000
0.0000 0.0000 9.6494
! **V**: 16.8 A^3/atom
! **M_tot**: 4.468 Bohr magnetons per cell
! **E_tot**: -44.74 eV per formula unit
! **Density**: 5.0 Mg/m³